P:
Material: Pr2Dy3In4
Method: DFT, GGA-PBE
State: optimized geometry

```
data_Pr2Dy3In4
_cell_length_a 7.0797
_cell_length_b 17.0207
_cell_length_c 9.0303
_cell_angle_alpha 90.00
_cell_angle_beta 90.00
_cell_angle_gamma 90.00
_space_group_name_H-M_alt 'C m c e'
_space_group_IT_number 64
_space_group_name_Hall '-C 2ac 2'
loop_
_atom_site_label
_atom_site_type_symbol
_atom_site_fract_x
_atom_site_fract_y
_atom_site_fract_z
Pr1 Pr 0.0000 0.1071 0.0794
Dy1 Dy 0.0000 0.0000 0.5000
Dy2 Dy 0.2500 0.2217 0.7500
In1 In 0.0000 0.1801 0.4609
In2 In 0.2500 0.0413 0.7500
```

---

Q:
Material: Pr2Dy3In4
Method: DFT, GGA-PBE
State: optimized geometry

```
data_Pr2Dy3In4
_cell_length_a 9.2589
_cell_length_b 5.3546
_cell_length_c 10.4874
_cell_angle_alpha 90.00
_cell_angle_beta 90.13
_cell_angle_gamma 90.00
_space_group_name_H-M_alt 'C 1 2/m 1'
_space_group_IT_number 12
loop_
_space_group_symop_operation_xyz
'x,y,z'
'-x,-y,-z'
'-x,y,-z'
'x,-y,z'
'x+1/2,y+1/2,z'
'-x+1/2,-y+1/2,-z'
'-x+1/2,y+1/2,-z'
'x+1/2,-y+1/2,z'
loop_
_atom_site_label
_atom_site_type_symbol
_atom_site_fract_x
_atom_site_fract_y
_atom_site_fract_z
Pr1 Pr 0.1671 0.0000 0.2793
Dy1 Dy 0.0000 0.5000 0.5000
Dy2 Dy 0.1665 0.0000 0.9255
In1 In 0.0001 0.5000 0.1484
In2 In 0.1662 0.0000 0.6007
```

---

Q wins, 0.087 eV/atom ahead of the next structure.

---

P:
Material: Pr3DyIn3
Method: DFT, GGA-PBE
State: optimized geometry

```
data_Pr3DyIn3
_cell_length_a 9.5826
_cell_length_b 9.5826
_cell_length_c 9.5826
_cell_angle_alpha 90.00
_cell_angle_beta 90.00
_cell_angle_gamma 90.00
_space_group_name_H-M_alt 'P 21 3'
_space_group_IT_number 198
_space_group_name_Hall 'P 2ac 2ab 3'
loop_
_atom_site_label
_atom_site_type_symbol
_atom_site_fract_x
_atom_site_fract_y
_atom_site_fract_z
Pr1 Pr 0.0685 0.4315 0.5685
Pr2 Pr 0.1685 0.8315 0.3315
Pr3 Pr 0.1777 0.1777 0.1777
Dy1 Dy 0.0774 0.5774 0.9226
In1 In 0.0062 0.2562 0.8673
```

---

Q:
Material: Pr3DyIn3
Method: DFT, GGA-PBE
State: optimized geometry

```
data_Pr3DyIn3
_cell_length_a 8.3276
_cell_length_b 10.7993
_cell_length_c 9.8878
_cell_angle_alpha 90.00
_cell_angle_beta 91.73
_cell_angle_gamma 90.00
_space_group_name_H-M_alt 'C 1 2/m 1'
_space_group_IT_number 12
loop_
_space_group_symop_operation_xyz
'x,y,z'
'-x,-y,-z'
'-x,y,-z'
'x,-y,z'
'x+1/2,y+1/2,z'
'-x+1/2,-y+1/2,-z'
'-x+1/2,y+1/2,-z'
'x+1/2,-y+1/2,z'
loop_
_atom_site_label
_atom_site_type_symbol
_atom_site_fract_x
_atom_site_fract_y
_atom_site_fract_z
Pr1 Pr 0.0000 0.1803 0.0000
Pr2 Pr 0.0000 0.2360 0.5000
Pr3 Pr 0.0925 0.5000 0.8189
Dy1 Dy 0.2198 0.5000 0.4601
In1 In 0.0227 0.0000 0.2693
In2 In 0.2348 0.2860 0.2405
```

---

P wins, 0.053 eV/atom ahead of the next structure.

---

P:
Material: PrDy2In2
Method: DFT, GGA-PBE
State: optimized geometry

```
data_PrDy2In2
_cell_length_a 3.7974
_cell_length_b 5.4458
_cell_length_c 14.1565
_cell_angle_alpha 90.00
_cell_angle_beta 97.72
_cell_angle_gamma 90.00
_space_group_name_H-M_alt 'P 1 21/m 1'
_space_group_IT_number 11
loop_
_space_group_symop_operation_xyz
'x,y,z'
'-x,-y,-z'
'-x,y+1/2,-z'
'x,-y+1/2,z'
loop_
_atom_site_label
_atom_site_type_symbol
_atom_site_fract_x
_atom_site_fract_y
_atom_site_fract_z
Pr1 Pr 0.1465 0.2500 0.2950
Dy1 Dy 0.0489 0.7500 0.0978
Dy2 Dy 0.2359 0.7500 0.4727
In1 In 0.3572 0.2500 0.7131
In2 In 0.4528 0.7500 0.9069
```

---

Q:
Material: PrDy2In2
Method: DFT, GGA-PBE
State: optimized geometry

```
data_PrDy2In2
_cell_length_a 4.6404
_cell_length_b 4.6404
_cell_length_c 29.1299
_cell_angle_alpha 90.00
_cell_angle_beta 90.00
_cell_angle_gamma 90.00
_space_group_name_H-M_alt 'I 4/m m m'
_space_group_IT_number 139
_space_group_name_Hall '-I 4 2'
loop_
_atom_site_label
_atom_site_type_symbol
_atom_site_fract_x
_atom_site_fract_y
_atom_site_fract_z
Pr1 Pr 0.0000 0.0000 0.1334
Dy1 Dy 0.0000 0.0000 0.4268
Dy2 Dy 0.0000 0.5000 0.2500
In1 In 0.0000 0.0000 0.3247
In2 In 0.0000 0.5000 0.0000
```

---

P wins, 0.210 eV/atom ahead of the next structure.

---

P:
Material: Pr2DyIn4
Method: DFT, GGA-PBE
State: optimized geometry

```
data_Pr2DyIn4
_cell_length_a 5.6382
_cell_length_b 5.6382
_cell_length_c 16.2422
_cell_angle_alpha 90.00
_cell_angle_beta 90.00
_cell_angle_gamma 90.00
_space_group_name_H-M_alt 'I 4/m m m'
_space_group_IT_number 139
_space_group_name_Hall '-I 4 2'
loop_
_atom_site_label
_atom_site_type_symbol
_atom_site_fract_x
_atom_site_fract_y
_atom_site_fract_z
Pr1 Pr 0.0000 0.0000 0.1127
Dy1 Dy 0.0000 0.0000 0.5000
In1 In 0.0000 0.0000 0.3136
In2 In 0.0000 0.5000 0.0000
```

---

Q:
Material: Pr2DyIn4
Method: DFT, GGA-PBE
State: optimized geometry

```
data_Pr2DyIn4
_cell_length_a 5.3251
_cell_length_b 5.3251
_cell_length_c 15.0553
_cell_angle_alpha 90.00
_cell_angle_beta 90.00
_cell_angle_gamma 90.00
_space_group_name_H-M_alt 'I 4/m m m'
_space_group_IT_number 139
_space_group_name_Hall '-I 4 2'
loop_
_atom_site_label
_atom_site_type_symbol
_atom_site_fract_x
_atom_site_fract_y
_atom_site_fract_z
Pr1 Pr 0.0000 0.0000 0.2483
Dy1 Dy 0.0000 0.0000 0.5000
In1 In 0.0000 0.5000 0.1088
```

---

Q wins, 0.437 eV/atom ahead of the next structure.

---

P:
Material: Pr3DyIn2
Method: DFT, GGA-PBE
State: optimized geometry

```
data_Pr3DyIn2
_cell_length_a 5.0719
_cell_length_b 4.6307
_cell_length_c 8.2584
_cell_angle_alpha 90.00
_cell_angle_beta 107.82
_cell_angle_gamma 90.00
_space_group_name_H-M_alt 'P 1 2/m 1'
_space_group_IT_number 10
loop_
_space_group_symop_operation_xyz
'x,y,z'
'-x,-y,-z'
'-x,y,-z'
'x,-y,z'
loop_
_atom_site_label
_atom_site_type_symbol
_atom_site_fract_x
_atom_site_fract_y
_atom_site_fract_z
Pr1 Pr 0.0000 0.0000 0.0000
Pr2 Pr 0.3257 0.0000 0.6523
Dy1 Dy 0.5000 0.5000 0.0000
In1 In 0.1543 0.5000 0.3087
```

---

Q:
Material: Pr3DyIn2
Method: DFT, GGA-PBE
State: optimized geometry

```
data_Pr3DyIn2
_cell_length_a 5.3504
_cell_length_b 10.1704
_cell_length_c 6.8803
_cell_angle_alpha 90.00
_cell_angle_beta 90.00
_cell_angle_gamma 90.00
_space_group_name_H-M_alt 'P m c 21'
_space_group_IT_number 26
loop_
_space_group_symop_operation_xyz
'x,y,z'
'-x,-y,z+1/2'
'-x,y,z'
'x,-y,z+1/2'
loop_
_atom_site_label
_atom_site_type_symbol
_atom_site_fract_x
_atom_site_fract_y
_atom_site_fract_z
Pr1 Pr 0.0000 0.0367 0.0000
Pr2 Pr 0.0000 0.3272 0.3411
Pr3 Pr 0.5000 0.1823 0.7294
Dy1 Dy 0.5000 0.4606 0.0665
In1 In 0.0000 0.3575 0.8271
In2 In 0.5000 0.1467 0.2461
```

---

Q wins, 0.040 eV/atom ahead of the next structure.

---

P:
Material: Pr5DyIn4
Method: DFT, GGA-PBE
State: optimized geometry

```
data_Pr5DyIn4
_cell_length_a 8.4666
_cell_length_b 9.2202
_cell_length_c 8.8265
_cell_angle_alpha 90.00
_cell_angle_beta 90.00
_cell_angle_gamma 90.00
_space_group_name_H-M_alt 'P m m n'
_space_group_IT_number 59
loop_
_space_group_symop_operation_xyz
'x,y,z'
'-x,-y,-z'
'-x+1/2,-y+1/2,z'
'x+1/2,y+1/2,-z'
'x+1/2,-y,-z'
'-x+1/2,y,z'
'-x,y+1/2,-z'
'x,-y+1/2,z'
loop_
_atom_site_label
_atom_site_type_symbol
_atom_site_fract_x
_atom_site_fract_y
_atom_site_fract_z
Pr1 Pr 0.0036 0.0552 0.2345
Pr2 Pr 0.2500 0.7500 0.1547
Dy1 Dy 0.2500 0.2500 0.5851
In1 In 0.0898 0.2500 0.9369
In2 In 0.2500 0.5888 0.4898
```

---

Q:
Material: Pr5DyIn4
Method: DFT, GGA-PBE
State: optimized geometry

```
data_Pr5DyIn4
_cell_length_a 3.6697
_cell_length_b 3.6697
_cell_length_c 22.7414
_cell_angle_alpha 90.00
_cell_angle_beta 90.00
_cell_angle_gamma 90.00
_space_group_name_H-M_alt 'P 4/m m m'
_space_group_IT_number 123
_space_group_name_Hall '-P 4 2'
loop_
_atom_site_label
_atom_site_type_symbol
_atom_site_fract_x
_atom_site_fract_y
_atom_site_fract_z
Pr1 Pr 0.0000 0.0000 0.0000
Pr2 Pr 0.0000 0.0000 0.1936
Pr3 Pr 0.0000 0.0000 0.3859
Dy1 Dy 0.5000 0.5000 0.5000
In1 In 0.5000 0.5000 0.0968
In2 In 0.5000 0.5000 0.2905
```

---

Q wins, 0.254 eV/atom ahead of the next structure.